# 1
Below is an optimized crystal structure of NaScSn, with properties calculated at the PBE-GGA level.

```
6
Lattice="-1.105 -1.365 -4.656 1.298 -4.684 1.065 -6.946 -1.453 2.074" Properties=species:S:1:pos:R:3 pbc="T T T"
Sn -2.585 -1.107 -1.721
Na -0.350 -2.551 0.831
Na -6.499 -1.926 -0.553
Sc -3.473 -0.726 1.037
Sn -4.264 -3.370 1.999
Sc -3.376 -3.751 -0.759
```

Summary:
Formation energy in meV/atom: -293
Total magnetization in μB/f.u.: 0.0
Symmetry: No. 129
Volume in Å³ per cell: 183.1


# 2
Below is an optimized crystal structure of Er6In5Au, with properties calculated at the PBE-GGA level.

```
12
Lattice="4.964 -0.029 1.758 0.040 7.377 0.013 0.127 -0.016 8.413" Properties=species:S:1:pos:R:3 pbc="T T T"
In 3.494 -0.030 6.773
In 4.984 3.659 1.764
Er 2.491 1.764 0.882
Er 0.966 1.796 6.008
In 3.512 3.658 6.769
Er 4.144 1.782 4.169
Er 4.164 5.536 4.176
Er 0.986 5.550 6.014
Au 5.004 7.347 1.771
In 1.597 -0.014 3.397
In 1.619 3.674 3.414
Er 2.512 5.584 0.889
```

Summary:
Formation energy in meV/atom: -494
Total magnetization in μB/f.u.: 0.0
Symmetry: No. 10
Volume in Å³ per cell: 306.4


# 3
Below is an optimized crystal structure of Ba2MgTaIn, with properties calculated at the PBE-GGA level.

```
5
Lattice="6.010 0.000 0.000 0.000 5.541 0.000 0.000 0.000 6.010" Properties=species:S:1:pos:R:3 pbc="T T T"
Ta 0.000 0.000 0.000
Mg 0.000 2.771 0.000
In 3.005 2.771 3.005
Ba 0.000 0.000 3.005
Ba 3.005 0.000 0.000
```

Summary:
Formation energy in meV/atom: 863
Total magnetization in μB/f.u.: 0.5
Symmetry: No. 123
Volume in Å³ per cell: 200.1